(1)
# LiNiW PBE relaxed
data_LiNiW
_space_group_name_H-M_alt 'P 1'
_space_group_IT_number 1
_space_group_name_Hall 'P 1'
_cell_length_a 5.589
_cell_length_b 5.589
_cell_length_c 5.589
_cell_angle_alpha 90.00
_cell_angle_beta 90.00
_cell_angle_gamma 90.00
loop_
_atom_site_label
_atom_site_fract_x
_atom_site_fract_y
_atom_site_fract_z
_atom_site_occupancy
Li1 0.000 0.000 0.000 1
Li2 0.000 0.500 0.500 1
Li3 0.500 0.000 0.500 1
Li4 0.500 0.500 0.000 1
Ni1 0.250 0.250 0.250 1
Ni2 0.250 0.750 0.750 1
Ni3 0.750 0.250 0.750 1
Ni4 0.750 0.750 0.250 1
W1 0.000 0.000 0.500 1
W2 0.000 0.500 0.000 1
W3 0.500 0.000 0.000 1
W4 0.500 0.500 0.500 1
# - magnetic moment (μB/cell) = 0.00
# - calculated volume (A^3/atom) = 14.55



(2)
# LiNiW2 PBE relaxed
data_LiNiW2
_space_group_name_H-M_alt 'P 1'
_space_group_IT_number 1
_space_group_name_Hall 'P 1'
_cell_length_a 6.824
_cell_length_b 6.824
_cell_length_c 5.056
_cell_angle_alpha 90.00
_cell_angle_beta 90.00
_cell_angle_gamma 90.00
loop_
_atom_site_label
_atom_site_fract_x
_atom_site_fract_y
_atom_site_fract_z
_atom_site_occupancy
Li1 0.000 0.000 0.000 1
Li2 0.000 0.500 0.250 1
Li3 0.500 0.000 0.750 1
Li4 0.500 0.500 0.500 1
Ni1 0.000 0.000 0.500 1
Ni2 0.000 0.500 0.750 1
Ni3 0.500 0.000 0.250 1
Ni4 0.500 0.500 0.000 1
W1 0.231 0.750 0.625 1
W2 0.250 0.231 0.375 1
W3 0.250 0.269 0.875 1
W4 0.269 0.750 0.125 1
W5 0.731 0.250 0.125 1
W6 0.750 0.731 0.875 1
W7 0.750 0.769 0.375 1
W8 0.769 0.250 0.625 1
# - magnetic moment (μB/cell) = 0.00
# - calculated volume (A^3/atom) = 14.72



(3)
# LiNi6W PBE relaxed
data_LiNi6W
_space_group_name_H-M_alt 'P 1'
_space_group_IT_number 1
_space_group_name_Hall 'P 1'
_cell_length_a 6.202
_cell_length_b 6.202
_cell_length_c 10.145
_cell_angle_alpha 90.00
_cell_angle_beta 90.00
_cell_angle_gamma 109.46
loop_
_atom_site_label
_atom_site_fract_x
_atom_site_fract_y
_atom_site_fract_z
_atom_site_occupancy
Li1 0.000 0.000 0.246 1
Li2 0.000 0.000 0.754 1
Li3 0.254 0.746 0.000 1
Li4 0.746 0.254 0.000 1
Ni1 0.000 0.000 0.000 1
Ni2 0.000 0.000 0.500 1
Ni3 0.124 0.374 0.125 1
Ni4 0.124 0.374 0.875 1
Ni5 0.125 0.375 0.375 1
Ni6 0.125 0.375 0.625 1
Ni7 0.250 0.750 0.251 1
Ni8 0.250 0.750 0.749 1
Ni9 0.374 0.124 0.125 1
Ni10 0.374 0.124 0.875 1
Ni11 0.375 0.125 0.375 1
Ni12 0.375 0.125 0.625 1
Ni13 0.500 0.500 0.000 1
Ni14 0.500 0.500 0.500 1
Ni15 0.625 0.875 0.375 1
Ni16 0.625 0.875 0.625 1
Ni17 0.626 0.876 0.125 1
Ni18 0.626 0.876 0.875 1
Ni19 0.750 0.250 0.251 1
Ni20 0.750 0.250 0.749 1
Ni21 0.875 0.625 0.375 1
Ni22 0.875 0.625 0.625 1
Ni23 0.876 0.626 0.125 1
Ni24 0.876 0.626 0.875 1
W1 0.251 0.749 0.500 1
W2 0.500 0.500 0.240 1
W3 0.500 0.500 0.760 1
W4 0.749 0.251 0.500 1
# - magnetic moment (μB/cell) = 1.58
# - calculated volume (A^3/atom) = 11.50



(4)
# Li2NiW PBE relaxed
data_Li2NiW
_space_group_name_H-M_alt 'P 1'
_space_group_IT_number 1
_space_group_name_Hall 'P 1'
_cell_length_a 2.848
_cell_length_b 4.337
_cell_length_c 9.059
_cell_angle_alpha 90.00
_cell_angle_beta 90.00
_cell_angle_gamma 90.00
loop_
_atom_site_label
_atom_site_fract_x
_atom_site_fract_y
_atom_site_fract_z
_atom_site_occupancy
Li1 0.000 0.000 0.227 1
Li2 0.000 0.000 0.773 1
Li3 0.500 0.500 0.227 1
Li4 0.500 0.500 0.773 1
Ni1 0.000 0.500 0.000 1
Ni2 0.500 0.000 0.000 1
W1 0.000 0.500 0.500 1
W2 0.500 0.000 0.500 1
# - magnetic moment (μB/cell) = 0.27
# - calculated volume (A^3/atom) = 13.98



(5)
# LiNi4W PBE relaxed
data_LiNi4W
_space_group_name_H-M_alt 'P 1'
_space_group_IT_number 1
_space_group_name_Hall 'P 1'
_cell_length_a 4.670
_cell_length_b 4.670
_cell_length_c 4.670
_cell_angle_alpha 60.00
_cell_angle_beta 60.00
_cell_angle_gamma 60.00
loop_
_atom_site_label
_atom_site_fract_x
_atom_site_fract_y
_atom_site_fract_z
_atom_site_occupancy
Li1 0.000 0.000 0.000 1
Ni1 0.124 0.625 0.625 1
Ni2 0.625 0.124 0.625 1
Ni3 0.625 0.625 0.124 1
Ni4 0.625 0.625 0.625 1
W1 0.250 0.250 0.250 1
# - magnetic moment (μB/cell) = 0.00
# - calculated volume (A^3/atom) = 12.01



(6)
# Li2NiW PBE relaxed
data_Li2NiW
_space_group_name_H-M_alt 'P 1'
_space_group_IT_number 1
_space_group_name_Hall 'P 1'
_cell_length_a 2.694
_cell_length_b 2.694
_cell_length_c 8.142
_cell_angle_alpha 90.00
_cell_angle_beta 90.00
_cell_angle_gamma 90.00
loop_
_atom_site_label
_atom_site_fract_x
_atom_site_fract_y
_atom_site_fract_z
_atom_site_occupancy
Li1 0.000 0.000 0.000 1
Li2 0.500 0.500 0.296 1
Ni1 0.000 0.000 0.508 1
W1 0.500 0.500 0.721 1
# - magnetic moment (μB/cell) = 0.00
# - calculated volume (A^3/atom) = 14.77



no.,formation energy (kcal/mol of atoms)
1,15.6
2,19.7
3,-1.9
4,6.5
5,1.7
6,4.7